VASP calculation (PBE) on crystalline CsScBr3 at its relaxed geometry.

Values from the calculation:
E above lowest polymorph	0.0646	eV per atom
space-group type	Pnma

Cell and atoms, written as extended XYZ:
```
20
Lattice="-0.570 -0.256 -4.064 -0.901 -9.634 0.734 -16.701 1.733 2.235" Properties=species:S:1:pos:R:3 pbc="T T T"
Br -12.370 -6.041 1.077
Br -4.314 -7.135 -2.064
Br -8.743 -2.159 0.323
Br -10.619 0.468 -1.659
Br -13.859 -1.022 0.970
Br -17.276 -0.321 -0.675
Br -9.430 -5.998 -1.418
Br -15.813 -3.857 -0.657
Br -7.554 -8.626 0.564
Br -5.803 -2.117 -2.172
Br -2.360 -4.301 -0.437
Br -0.897 -7.837 -0.420
Cs -3.035 -0.362 -0.591
Cs -15.138 -7.796 -0.504
Cs -12.011 -3.257 -1.229
Cs -6.162 -4.901 0.134
Sc -8.105 -0.607 -1.944
Sc -16.396 -2.031 1.389
Sc -1.777 -6.127 -2.484
Sc -10.068 -7.551 0.849
```

VASP calculation (PBE) on crystalline CsScBr3 at its relaxed geometry.

Values from the calculation:
E above lowest polymorph	0.0871	eV per atom
space-group type	Pm

Cell and atoms, written as extended XYZ:
```
10
Lattice="10.392 0.003 0.121 -0.002 4.311 0.000 -4.378 -0.002 8.102" Properties=species:S:1:pos:R:3 pbc="T T T"
Br -1.537 3.373 3.049
Br 3.291 3.375 4.147
Br -2.411 3.372 6.951
Br 1.211 1.218 1.957
Br 4.652 1.219 0.964
Br 4.622 1.218 7.724
Cs 6.191 1.221 4.366
Cs 0.565 1.219 5.475
Sc -0.108 3.372 0.743
Sc 2.873 3.374 1.460
```

VASP calculation (PBE) on crystalline CsScBr3 at its relaxed geometry.

Values from the calculation:
E above lowest polymorph	0.0717	eV per atom
space-group type	Cmmm

Cell and atoms, written as extended XYZ:
```
10
Lattice="8.656 0.009 0.001 -0.006 5.459 0.004 -3.600 -0.011 7.028" Properties=species:S:1:pos:R:3 pbc="T T T"
Sc 2.850 4.532 4.449
Sc -0.129 4.532 2.919
Br 0.388 4.530 5.577
Br 2.332 4.535 1.791
Br 5.688 4.537 3.685
Br 3.050 1.803 4.550
Br 7.488 4.542 0.171
Br -0.323 1.802 2.814
Cs -2.389 1.798 6.196
Cs 5.115 1.808 1.169
```

VASP calculation (PBE) on crystalline Cs2ScBr7 at its relaxed geometry.

Values from the calculation:
space-group type	I4/mmm

Cell and atoms, written as extended XYZ:
```
10
Lattice="8.768 0.000 0.000 0.000 8.768 0.000 4.384 4.384 5.357" Properties=species:S:1:pos:R:3 pbc="T T T"
Br 6.227 2.541 0.000
Br 8.768 8.768 2.533
Br 4.384 4.384 2.824
Br 2.541 6.227 0.000
Br 6.227 6.227 0.000
Br 2.541 2.541 0.000
Br 0.000 0.000 0.000
Cs 8.768 4.384 2.679
Cs 4.384 8.768 2.679
Sc 4.384 4.384 0.000
```

VASP calculation (PBE) on crystalline CsSc3Br at its relaxed geometry.

Values from the calculation:
E above lowest polymorph	0.0000	eV per atom
space-group type	Pm-3m

Cell and atoms, written as extended XYZ:
```
5
Lattice="5.361 0.000 0.000 0.000 5.361 0.000 0.000 0.000 5.361" Properties=species:S:1:pos:R:3 pbc="T T T"
Sc 2.680 0.000 0.000
Sc 0.000 2.680 0.000
Sc 0.000 0.000 2.680
Cs 2.680 2.680 2.680
Br 0.000 0.000 0.000
```

VASP calculation (PBE) on crystalline CsScBr3 at its relaxed geometry.

Values from the calculation:
E above lowest polymorph	0.0264	eV per atom
space-group type	Imma

Cell and atoms, written as extended XYZ:
```
10
Lattice="-4.589 3.980 -1.583 -5.985 -4.219 -5.703 -8.083 -3.004 3.434" Properties=species:S:1:pos:R:3 pbc="T T T"
Cs -2.295 1.990 -0.791
Cs -7.034 -3.612 -1.134
Br -5.206 -2.793 -4.375
Br -14.015 -2.420 -2.792
Br -10.682 -2.716 -0.752
Br -7.975 -0.528 -3.099
Br -13.451 -0.451 0.524
Br -4.642 -0.824 -1.059
Sc -2.992 -2.110 -2.852
Sc -5.287 -0.120 -3.643
```

VASP calculation (PBE) on crystalline CsScBr3 at its relaxed geometry.

Values from the calculation:
E above lowest polymorph	0.2416	eV per atom
space-group type	Cmcm

Cell and atoms, written as extended XYZ:
```
10
Lattice="-4.723 4.032 -8.717 -1.229 -8.615 6.230 -4.538 3.645 4.145" Properties=species:S:1:pos:R:3 pbc="T T T"
Br -2.269 1.822 2.072
Br -6.159 -0.272 -3.425
Br -4.331 -0.667 5.083
Br -7.204 -2.880 3.883
Br 0.000 0.000 0.000
Br -3.286 1.941 -2.225
Sc -2.696 -6.500 5.844
Sc -7.795 5.561 -4.186
Cs -6.982 2.619 -0.709
Cs -3.509 -3.558 2.367
```

VASP calculation (PBE) on crystalline CsScBr3 at its relaxed geometry.

Values from the calculation:
E above lowest polymorph	0.1047	eV per atom
space-group type	Imma

Cell and atoms, written as extended XYZ:
```
10
Lattice="5.467 0.000 0.000 0.000 5.386 0.000 -2.733 -2.693 11.594" Properties=species:S:1:pos:R:3 pbc="T T T"
Cs 4.101 2.693 1.855
Cs -1.367 0.000 9.739
Sc 1.365 0.000 4.562
Sc 1.368 2.693 7.032
Br 1.367 2.693 9.880
Br 1.367 2.693 4.310
Br 1.366 0.000 7.284
Br 4.099 0.000 4.437
Br -1.366 2.693 7.157
Br 1.367 0.000 1.714
```

So what do the calculations give for uncorrected formation energy? Going down the list: -1.61 -1.59 -1.60 -1.35 0.46 -1.65 -1.43 -1.57 eV/atom.